Tm8Zn2Pb: optimized geometry, PBE-GGA.

Lattice parameters (Å, degrees): 15.984 5.093 8.183 90.00 118.66 90.00
Space group C2/m (No. 12)
Unique sites:
1 Tm 0.065 0.000 0.223 x4
2 Tm 0.103 0.500 0.969 x4
3 Tm 0.153 0.000 0.712 x4
4 Tm 0.186 0.500 0.464 x4
5 Zn 0.217 0.000 0.116 x4
6 Pb 0.000 0.500 0.500 x2

Summary:
total magnetic moment = 0.00 μB per formula unit
calculated density = 9.6 g/cm3
DFT total energy = -4.033 eV per atom
DOS(E_F) = 0.749 states/eV/atom